TlNiOs2 (PBE-GGA, optimized geometry); VASP energy = -7.182 eV/atom
1.0
2.861 0.000 0.000
0.000 2.861 0.000
0.000 0.000 7.628
Tl Ni Os
1 1 2
direct
0.000 0.000 0.000
0.500 0.500 0.258
0.000 0.000 0.485
0.500 0.500 0.701

ZrVGe (PBE-GGA, optimized geometry); VASP energy = -7.595 eV/atom
1.0
4.353 0.000 0.000
-2.177 3.770 0.000
0.000 0.000 3.325
Zr V Ge
1 1 1
direct
0.000 0.000 0.000
0.667 0.333 0.500
0.333 0.667 0.500

Question: What is the VASP energy in the first record?
Answer: -7.182 eV/atom

Question: Number 1 is which compound?
Answer: TlNiOs2

What did the second record say?
ZrVGe (PBE-GGA, optimized geometry); VASP energy = -7.595 eV/atom
1.0
4.353 0.000 0.000
-2.177 3.770 0.000
0.000 0.000 3.325
Zr V Ge
1 1 1
direct
0.000 0.000 0.000
0.667 0.333 0.500
0.333 0.667 0.500

Copy entry 2 word for word.
ZrVGe (PBE-GGA, optimized geometry); VASP energy = -7.595 eV/atom
1.0
4.353 0.000 0.000
-2.177 3.770 0.000
0.000 0.000 3.325
Zr V Ge
1 1 1
direct
0.000 0.000 0.000
0.667 0.333 0.500
0.333 0.667 0.500